1.
VASP calculation (PBE-GGA) on a relaxed Fe2TcBr2 crystal.

Calculated volume, Å³/atom: 16.20
Total magnetic moment, μB per atom: 0.364
E_tot, eV per cell: -49.92
Theoretical density, g/cm3: 7.573
Offset from the most stable computed form, eV per atom: 0.0589
Crystal system: tetragonal
Energy relative to the elements, uncorrected, eV/f.u.: 5.68

Cell and atoms, written as CIF:
```
data_Fe2TcBr2
_chemical_formula_sum 'Fe4 Tc2 Br4'
_cell_length_a 6.289
_cell_length_b 6.289
_cell_length_c 4.097
_cell_angle_alpha 90.00
_cell_angle_beta 90.00
_cell_angle_gamma 90.00
_symmetry_space_group_name_H-M 'P 1'
_symmetry_Int_Tables_number 1
loop_
_symmetry_equiv_pos_as_xyz
'x,y,z'
loop_
_atom_site_label
_atom_site_type_symbol
_atom_site_fract_x
_atom_site_fract_y
_atom_site_fract_z
Fe1 Fe 0.127 0.373 0.000
Fe2 Fe 0.373 0.873 0.000
Fe3 Fe 0.627 0.127 0.000
Fe4 Fe 0.873 0.627 0.000
Tc1 Tc 0.000 0.000 0.000
Tc2 Tc 0.500 0.500 0.000
Br1 Br 0.193 0.693 0.500
Br2 Br 0.307 0.193 0.500
Br3 Br 0.693 0.807 0.500
Br4 Br 0.807 0.307 0.500
```

=====

2.
VASP calculation (PBE-GGA) on a relaxed Fe2TcBr crystal.

Calculated volume, Å³/atom: 15.18
Total magnetic moment, μB per atom: 1.180
E_tot, eV per cell: -51.64
Theoretical density, g/cm3: 7.918
Offset from the most stable computed form, eV per atom: 0.3711
Crystal system: monoclinic
Energy relative to the elements, uncorrected, eV/f.u.: 3.15

Cell and atoms, written as CIF:
```
data_Fe2TcBr
_chemical_formula_sum 'Fe4 Tc2 Br2'
_cell_length_a 9.064
_cell_length_b 2.948
_cell_length_c 4.555
_cell_angle_alpha 90.00
_cell_angle_beta 93.64
_cell_angle_gamma 90.00
_symmetry_space_group_name_H-M 'P 1'
_symmetry_Int_Tables_number 1
loop_
_symmetry_equiv_pos_as_xyz
'x,y,z'
loop_
_atom_site_label
_atom_site_type_symbol
_atom_site_fract_x
_atom_site_fract_y
_atom_site_fract_z
Fe1 Fe 0.233 0.000 0.195
Fe2 Fe 0.267 0.500 0.805
Fe3 Fe 0.733 0.500 0.195
Fe4 Fe 0.767 0.000 0.805
Tc1 Tc 0.000 0.500 0.000
Tc2 Tc 0.500 0.000 0.000
Br1 Br 0.000 0.000 0.500
Br2 Br 0.500 0.500 0.500
```

=====

3.
VASP calculation (PBE-GGA) on a relaxed Fe2TcBr crystal.

Calculated volume, Å³/atom: 15.10
Total magnetic moment, μB per atom: 1.370
E_tot, eV per cell: -80.11
Theoretical density, g/cm3: 7.962
Offset from the most stable computed form, eV per atom: 0.1498
Crystal system: trigonal
Energy relative to the elements, uncorrected, eV/f.u.: 2.26

Cell and atoms, written as CIF:
```
data_Fe2TcBr
_chemical_formula_sum 'Fe6 Tc3 Br3'
_cell_length_a 2.955
_cell_length_b 2.955
_cell_length_c 23.959
_cell_angle_alpha 90.00
_cell_angle_beta 90.00
_cell_angle_gamma 120.00
_symmetry_space_group_name_H-M 'P 1'
_symmetry_Int_Tables_number 1
loop_
_symmetry_equiv_pos_as_xyz
'x,y,z'
loop_
_atom_site_label
_atom_site_type_symbol
_atom_site_fract_x
_atom_site_fract_y
_atom_site_fract_z
Fe1 Fe 0.000 0.000 0.000
Fe2 Fe 0.000 0.000 0.257
Fe3 Fe 0.333 0.667 0.667
Fe4 Fe 0.333 0.667 0.923
Fe5 Fe 0.667 0.333 0.333
Fe6 Fe 0.667 0.333 0.590
Tc1 Tc 0.000 0.000 0.746
Tc2 Tc 0.333 0.667 0.412
Tc3 Tc 0.667 0.333 0.079
Br1 Br 0.000 0.000 0.504
Br2 Br 0.333 0.667 0.170
Br3 Br 0.667 0.333 0.837
```

=====

4.
VASP calculation (PBE-GGA) on a relaxed Fe2TcBr crystal.

Calculated volume, Å³/atom: 14.90
Total magnetic moment, μB per atom: 1.484
E_tot, eV per cell: -51.44
Theoretical density, g/cm3: 8.070
Offset from the most stable computed form, eV per atom: 0.3952
Crystal system: orthorhombic
Energy relative to the elements, uncorrected, eV/f.u.: 3.24

Cell and atoms, written as CIF:
```
data_Fe2TcBr
_chemical_formula_sum 'Fe4 Tc2 Br2'
_cell_length_a 5.178
_cell_length_b 8.092
_cell_length_c 2.844
_cell_angle_alpha 90.00
_cell_angle_beta 90.00
_cell_angle_gamma 90.00
_symmetry_space_group_name_H-M 'P 1'
_symmetry_Int_Tables_number 1
loop_
_symmetry_equiv_pos_as_xyz
'x,y,z'
loop_
_atom_site_label
_atom_site_type_symbol
_atom_site_fract_x
_atom_site_fract_y
_atom_site_fract_z
Fe1 Fe 0.250 0.250 0.000
Fe2 Fe 0.250 0.750 0.000
Fe3 Fe 0.750 0.250 0.000
Fe4 Fe 0.750 0.750 0.000
Tc1 Tc 0.000 0.000 0.500
Tc2 Tc 0.500 0.500 0.500
Br1 Br 0.000 0.500 0.500
Br2 Br 0.500 0.000 0.500
```

=====

5.
VASP calculation (PBE-GGA) on a relaxed Fe2TcBr crystal.

Calculated volume, Å³/atom: 14.54
Total magnetic moment, μB per atom: 1.434
E_tot, eV per cell: -25.69
Theoretical density, g/cm3: 8.266
Offset from the most stable computed form, eV per atom: 0.4033
Crystal system: orthorhombic
Energy relative to the elements, uncorrected, eV/f.u.: 3.27

Cell and atoms, written as CIF:
```
data_Fe2TcBr
_chemical_formula_sum 'Fe2 Tc1 Br1'
_cell_length_a 2.949
_cell_length_b 4.408
_cell_length_c 4.476
_cell_angle_alpha 90.00
_cell_angle_beta 90.00
_cell_angle_gamma 90.00
_symmetry_space_group_name_H-M 'P 1'
_symmetry_Int_Tables_number 1
loop_
_symmetry_equiv_pos_as_xyz
'x,y,z'
loop_
_atom_site_label
_atom_site_type_symbol
_atom_site_fract_x
_atom_site_fract_y
_atom_site_fract_z
Fe1 Fe 0.000 0.000 0.000
Fe2 Fe 0.500 0.500 0.000
Tc1 Tc 0.000 0.500 0.500
Br1 Br 0.500 0.000 0.500
```

=====

6.
VASP calculation (PBE-GGA) on a relaxed Zn2FeTcBr crystal.

Calculated volume, Å³/atom: 20.60
Total magnetic moment, μB per atom: 1.211
E_tot, eV per cell: -17.27
Theoretical density, g/cm3: 5.877
Crystal system: tetragonal
Energy relative to the elements, uncorrected, eV/f.u.: 5.78

Cell and atoms, written as CIF:
```
data_Zn2FeTcBr
_chemical_formula_sum 'Zn2 Fe1 Tc1 Br1'
_cell_length_a 4.738
_cell_length_b 4.738
_cell_length_c 4.588
_cell_angle_alpha 90.00
_cell_angle_beta 90.00
_cell_angle_gamma 90.00
_symmetry_space_group_name_H-M 'P 1'
_symmetry_Int_Tables_number 1
loop_
_symmetry_equiv_pos_as_xyz
'x,y,z'
loop_
_atom_site_label
_atom_site_type_symbol
_atom_site_fract_x
_atom_site_fract_y
_atom_site_fract_z
Zn1 Zn 0.000 0.500 0.000
Zn2 Zn 0.500 0.000 0.000
Fe1 Fe 0.000 0.000 0.000
Tc1 Tc 0.500 0.500 0.500
Br1 Br 0.000 0.000 0.500
```

=====

7.
VASP calculation (PBE-GGA) on a relaxed FeTeBr crystal.

Calculated volume, Å³/atom: 31.90
Total magnetic moment, μB per atom: 1.283
E_tot, eV per cell: -53.13
Theoretical density, g/cm3: 4.570
Crystal system: orthorhombic
Energy relative to the elements, uncorrected, eV/f.u.: -0.01

Cell and atoms, written as CIF:
```
data_FeTeBr
_chemical_formula_sum 'Fe4 Te4 Br4'
_cell_length_a 14.677
_cell_length_b 3.712
_cell_length_c 7.026
_cell_angle_alpha 90.00
_cell_angle_beta 90.00
_cell_angle_gamma 90.00
_symmetry_space_group_name_H-M 'P 1'
_symmetry_Int_Tables_number 1
loop_
_symmetry_equiv_pos_as_xyz
'x,y,z'
loop_
_atom_site_label
_atom_site_type_symbol
_atom_site_fract_x
_atom_site_fract_y
_atom_site_fract_z
Fe1 Fe 0.207 0.250 0.131
Fe2 Fe 0.293 0.750 0.631
Fe3 Fe 0.707 0.250 0.369
Fe4 Fe 0.793 0.750 0.869
Te1 Te 0.184 0.250 0.758
Te2 Te 0.316 0.750 0.258
Te3 Te 0.684 0.250 0.742
Te4 Te 0.816 0.750 0.242
Br1 Br 0.064 0.250 0.261
Br2 Br 0.436 0.750 0.761
Br3 Br 0.564 0.250 0.239
Br4 Br 0.936 0.750 0.739
```

=====

8.
VASP calculation (PBE-GGA) on a relaxed FeTe2Br crystal.

Calculated volume, Å³/atom: 21.49
Total magnetic moment, μB per atom: 0.000
E_tot, eV per cell: -53.15
Theoretical density, g/cm3: 7.551
Offset from the most stable computed form, eV per atom: 0.8706
Crystal system: cubic
Energy relative to the elements, uncorrected, eV/f.u.: 3.13

Cell and atoms, written as CIF:
```
data_FeTe2Br
_chemical_formula_sum 'Fe4 Te8 Br4'
_cell_length_a 7.006
_cell_length_b 7.006
_cell_length_c 7.006
_cell_angle_alpha 90.00
_cell_angle_beta 90.00
_cell_angle_gamma 90.00
_symmetry_space_group_name_H-M 'P 1'
_symmetry_Int_Tables_number 1
loop_
_symmetry_equiv_pos_as_xyz
'x,y,z'
loop_
_atom_site_label
_atom_site_type_symbol
_atom_site_fract_x
_atom_site_fract_y
_atom_site_fract_z
Fe1 Fe 0.000 0.000 0.000
Fe2 Fe 0.000 0.500 0.500
Fe3 Fe 0.500 0.000 0.500
Fe4 Fe 0.500 0.500 0.000
Te1 Te 0.250 0.250 0.250
Te2 Te 0.250 0.250 0.750
Te3 Te 0.250 0.750 0.250
Te4 Te 0.250 0.750 0.750
Te5 Te 0.750 0.250 0.250
Te6 Te 0.750 0.250 0.750
Te7 Te 0.750 0.750 0.250
Te8 Te 0.750 0.750 0.750
Br1 Br 0.000 0.000 0.500
Br2 Br 0.000 0.500 0.000
Br3 Br 0.500 0.000 0.000
Br4 Br 0.500 0.500 0.500
```

=====

9.
VASP calculation (PBE-GGA) on a relaxed FeTe2Br crystal.

Calculated volume, Å³/atom: 26.75
Total magnetic moment, μB per atom: 0.806
E_tot, eV per cell: -59.08
Theoretical density, g/cm3: 6.066
Offset from the most stable computed form, eV per atom: 0.4999
Crystal system: orthorhombic
Energy relative to the elements, uncorrected, eV/f.u.: 1.65

Cell and atoms, written as CIF:
```
data_FeTe2Br
_chemical_formula_sum 'Fe4 Te8 Br4'
_cell_length_a 6.154
_cell_length_b 8.297
_cell_length_c 8.384
_cell_angle_alpha 90.00
_cell_angle_beta 90.00
_cell_angle_gamma 90.00
_symmetry_space_group_name_H-M 'P 1'
_symmetry_Int_Tables_number 1
loop_
_symmetry_equiv_pos_as_xyz
'x,y,z'
loop_
_atom_site_label
_atom_site_type_symbol
_atom_site_fract_x
_atom_site_fract_y
_atom_site_fract_z
Fe1 Fe 0.000 0.000 0.000
Fe2 Fe 0.000 0.500 0.500
Fe3 Fe 0.500 0.000 0.500
Fe4 Fe 0.500 0.500 0.000
Te1 Te 0.000 0.250 0.250
Te2 Te 0.000 0.250 0.750
Te3 Te 0.000 0.750 0.250
Te4 Te 0.000 0.750 0.750
Te5 Te 0.500 0.250 0.250
Te6 Te 0.500 0.250 0.750
Te7 Te 0.500 0.750 0.250
Te8 Te 0.500 0.750 0.750
Br1 Br 0.000 0.000 0.500
Br2 Br 0.000 0.500 0.000
Br3 Br 0.500 0.000 0.000
Br4 Br 0.500 0.500 0.500
```

=====

10.
VASP calculation (PBE-GGA) on a relaxed FeTe2Br crystal.

Calculated volume, Å³/atom: 23.33
Total magnetic moment, μB per atom: 0.586
E_tot, eV per cell: -15.77
Theoretical density, g/cm3: 6.956
Offset from the most stable computed form, eV per atom: 0.2500
Crystal system: tetragonal
Energy relative to the elements, uncorrected, eV/f.u.: 0.65

Cell and atoms, written as CIF:
```
data_FeTe2Br
_chemical_formula_sum 'Fe1 Te2 Br1'
_cell_length_a 3.427
_cell_length_b 3.427
_cell_length_c 7.945
_cell_angle_alpha 90.00
_cell_angle_beta 90.00
_cell_angle_gamma 90.00
_symmetry_space_group_name_H-M 'P 1'
_symmetry_Int_Tables_number 1
loop_
_symmetry_equiv_pos_as_xyz
'x,y,z'
loop_
_atom_site_label
_atom_site_type_symbol
_atom_site_fract_x
_atom_site_fract_y
_atom_site_fract_z
Fe1 Fe 0.000 0.000 0.000
Te1 Te 0.500 0.500 0.186
Te2 Te 0.500 0.500 0.814
Br1 Br 0.000 0.000 0.500
```

=====

11.
VASP calculation (PBE-GGA) on a relaxed FeTe2Br crystal.

Calculated volume, Å³/atom: 28.63
Total magnetic moment, μB per atom: 0.844
E_tot, eV per cell: -15.72
Theoretical density, g/cm3: 5.668
Offset from the most stable computed form, eV per atom: 0.2619
Crystal system: tetragonal
Energy relative to the elements, uncorrected, eV/f.u.: 0.70

Cell and atoms, written as CIF:
```
data_FeTe2Br
_chemical_formula_sum 'Fe1 Te2 Br1'
_cell_length_a 3.161
_cell_length_b 3.161
_cell_length_c 11.461
_cell_angle_alpha 90.00
_cell_angle_beta 90.00
_cell_angle_gamma 90.00
_symmetry_space_group_name_H-M 'P 1'
_symmetry_Int_Tables_number 1
loop_
_symmetry_equiv_pos_as_xyz
'x,y,z'
loop_
_atom_site_label
_atom_site_type_symbol
_atom_site_fract_x
_atom_site_fract_y
_atom_site_fract_z
Fe1 Fe 0.000 0.000 0.000
Te1 Te 0.000 0.000 0.503
Te2 Te 0.500 0.500 0.163
Br1 Br 0.500 0.500 0.861
```

=====

12.
VASP calculation (PBE-GGA) on a relaxed FeTeBr crystal.

Calculated volume, Å³/atom: 27.27
Total magnetic moment, μB per atom: 1.128
E_tot, eV per cell: -13.67
Theoretical density, g/cm3: 5.345
Crystal system: trigonal
Energy relative to the elements, uncorrected, eV/f.u.: -0.40

Cell and atoms, written as CIF:
```
data_FeTeBr
_chemical_formula_sum 'Fe1 Te1 Br1'
_cell_length_a 3.589
_cell_length_b 3.589
_cell_length_c 7.333
_cell_angle_alpha 90.00
_cell_angle_beta 90.00
_cell_angle_gamma 120.00
_symmetry_space_group_name_H-M 'P 1'
_symmetry_Int_Tables_number 1
loop_
_symmetry_equiv_pos_as_xyz
'x,y,z'
loop_
_atom_site_label
_atom_site_type_symbol
_atom_site_fract_x
_atom_site_fract_y
_atom_site_fract_z
Fe1 Fe 0.000 0.000 0.000
Te1 Te 0.333 0.667 0.237
Br1 Br 0.667 0.333 0.787
```